Record 1
An optimized crystal structure of Cs3K2UO6. Source: Alexandria via LeMat-Bulk, functional PBE-GGA.

Computed properties:
Energy relative to the elements, uncorrected: -2.00 eV per atom

abc: 6.779 6.779 6.982
angles: 98.95 98.95 119.97
Element x y z (fractional)
Cs: 0.000 0.000 0.000
Cs: 0.328 0.672 0.000
Cs: 0.672 0.328 0.000
K: 0.166 0.834 0.500
K: 0.834 0.166 0.500
U: 0.500 0.500 0.500
O: 0.188 0.439 0.322
O: 0.311 0.311 0.688
O: 0.439 0.188 0.322
O: 0.561 0.812 0.678
O: 0.689 0.689 0.312
O: 0.812 0.561 0.678

Record 2
An optimized crystal structure of Pm5Sm2HoTm. Source: Alexandria via LeMat-Bulk, functional PBE-GGA.

Computed properties:
Formation enthalpy at 0 K: 0.287 eV per atom

abc: 10.273 10.273 10.273
angles: 130.66 130.66 72.36
Element x y z (fractional)
Pm: 0.000 0.000 0.000
Pm: 0.074 0.574 0.932
Pm: 0.142 0.074 0.500
Pm: 0.358 0.858 0.932
Pm: 0.426 0.358 0.500
Pm: 0.500 0.500 0.000
Pm: 0.574 0.642 0.500
Pm: 0.642 0.142 0.068
Pm: 0.858 0.926 0.500
Pm: 0.926 0.426 0.068
Sm: 0.121 0.379 0.500
Sm: 0.379 0.879 0.258
Sm: 0.621 0.121 0.742
Sm: 0.879 0.621 0.500
Ho: 0.250 0.250 0.000
Ho: 0.750 0.750 0.000
Tm: 0.250 0.750 0.500
Tm: 0.750 0.250 0.500

Record 3
An optimized crystal structure of TbDyMnAg. Source: Alexandria via LeMat-Bulk, functional PBE-GGA.

Computed properties:
Formation enthalpy at 0 K: -0.005 eV per atom

abc: 7.212 7.212 7.212
angles: 90.00 90.00 90.00
Element x y z (fractional)
Tb: 0.000 0.000 0.000
Tb: 0.000 0.500 0.500
Tb: 0.500 0.000 0.500
Tb: 0.500 0.500 0.000
Dy: 0.000 0.000 0.500
Dy: 0.000 0.500 0.000
Dy: 0.500 0.000 0.000
Dy: 0.500 0.500 0.500
Mn: 0.250 0.250 0.250
Mn: 0.250 0.750 0.750
Mn: 0.750 0.250 0.750
Mn: 0.750 0.750 0.250
Ag: 0.250 0.250 0.750
Ag: 0.250 0.750 0.250
Ag: 0.750 0.250 0.250
Ag: 0.750 0.750 0.750

Record 4
An optimized crystal structure of Nb2ZnRu4. Source: Alexandria via LeMat-Bulk, functional PBE-GGA.

Computed properties:
Formation enthalpy at 0 K: 0.879 eV per atom
Energy above the most stable polymorph in this dataset: 0.657 eV per atom

abc: 4.471 4.471 12.678
angles: 90.00 90.00 90.00
Element x y z (fractional)
Nb: 0.000 0.000 0.127
Nb: 0.000 0.000 0.873
Nb: 0.500 0.500 0.373
Nb: 0.500 0.500 0.627
Zn: 0.000 0.000 0.500
Zn: 0.500 0.500 0.000
Ru: 0.000 0.000 0.308
Ru: 0.000 0.000 0.692
Ru: 0.000 0.500 0.000
Ru: 0.000 0.500 0.500
Ru: 0.500 0.000 0.000
Ru: 0.500 0.000 0.500
Ru: 0.500 0.500 0.192
Ru: 0.500 0.500 0.808

Record 5
An optimized crystal structure of Ba2SbRu. Source: Alexandria via LeMat-Bulk, functional PBE-GGA.

Computed properties:
Energy relative to the elements, uncorrected: 0.32 eV per atom

abc: 3.942 3.942 30.115
angles: 90.00 90.00 120.00
Element x y z (fractional)
Ba: 0.000 0.000 0.239
Ba: 0.000 0.000 0.761
Ba: 0.333 0.667 0.428
Ba: 0.333 0.667 0.906
Ba: 0.667 0.333 0.094
Ba: 0.667 0.333 0.572
Sb: 0.000 0.000 0.000
Sb: 0.333 0.667 0.667
Sb: 0.667 0.333 0.333
Ru: 0.000 0.000 0.500
Ru: 0.333 0.667 0.167
Ru: 0.667 0.333 0.833

Record 6
An optimized crystal structure of Sm8DyTl2. Source: Alexandria via LeMat-Bulk, functional PBE-GGA.

Computed properties:
Formation enthalpy at 0 K: -0.037 eV per atom
Energy above the most stable polymorph in this dataset: 0.065 eV per atom

abc: 9.294 9.294 6.203
angles: 101.77 101.77 42.57
Element x y z (fractional)
Sm: 0.010 0.010 0.249
Sm: 0.066 0.585 0.370
Sm: 0.374 0.374 0.912
Sm: 0.415 0.934 0.630
Sm: 0.585 0.066 0.370
Sm: 0.626 0.626 0.088
Sm: 0.934 0.415 0.630
Sm: 0.990 0.990 0.751
Dy: 0.500 0.500 0.500
Tl: 0.177 0.177 0.105
Tl: 0.823 0.823 0.895

Listing E_tot for the structures above in their given order: -69.81, -39.65, -21.27, -52.36, -15.98, -47.50 eV per formula unit.
Listing size of the total moment for the structures above in their given order: 1.1, 0.0, 13.5, 1.4, 1.5, 0.0 Bohr magnetons per cell.